# 1
{"formula": "Li2PmAg6", "functional": "GGA-PBE", "state": "relaxed", "e_form_mev_per_atom": -132, "e_above_lowest_polymorph_mev_per_atom": 0, "m_tot_mub_per_cell": 0.00, "spacegroup": "No. 63", "lattice_angstrom": [[-2.166, 2.392, -3.462], [-1.417, -7.589, -4.357], [-7.668, -3.929, 2.084]], "species": ["Li", "Li", "Li", "Li", "Ag", "Ag", "Ag", "Ag", "Ag", "Ag", "Ag", "Ag", "Ag", "Ag", "Ag", "Ag", "Pm", "Pm"], "frac_coords": [[0.750, 0.806, 0.635], [0.250, 0.635, 0.806], [0.750, 0.365, 0.194], [0.250, 0.194, 0.365], [0.750, 0.992, 0.813], [0.250, 0.501, 0.303], [0.250, 0.953, 0.631], [0.750, 0.047, 0.369], [0.750, 0.303, 0.501], [0.750, 0.187, 0.008], [0.250, 0.813, 0.992], [0.750, 0.631, 0.953], [0.250, 0.697, 0.499], [0.250, 0.008, 0.187], [0.750, 0.499, 0.697], [0.250, 0.369, 0.047], [0.750, 0.749, 0.251], [0.250, 0.251, 0.749]]}

# 2
{"formula": "Li6PmAg4", "functional": "GGA-PBE", "state": "relaxed", "e_form_mev_per_atom": -134, "m_tot_mub_per_cell": 0.00, "spacegroup": "No. 187", "lattice_angstrom": [[4.124, 0.000, 0.000], [0.000, 7.654, 0.000], [0.000, -3.827, 6.629]], "species": ["Li", "Li", "Li", "Li", "Li", "Li", "Ag", "Ag", "Ag", "Ag", "Pm"], "frac_coords": [[0.500, 0.594, 0.797], [0.000, 0.533, 0.066], [0.500, 0.203, 0.797], [0.000, 0.533, 0.467], [0.000, 0.934, 0.467], [0.500, 0.203, 0.406], [0.500, 0.800, 0.601], [0.500, 0.399, 0.200], [0.000, 0.333, 0.667], [0.500, 0.800, 0.200], [0.000, 0.000, 0.000]]}

# 3
{"formula": "LiPm2Ag", "functional": "GGA-PBE", "state": "relaxed", "e_form_mev_per_atom": -76, "e_above_lowest_polymorph_mev_per_atom": 0, "m_tot_mub_per_cell": 0.15, "spacegroup": "No. 123", "lattice_angstrom": [[-0.119, 0.831, 3.722], [-4.584, -2.508, 0.413], [2.537, -4.459, 1.076]], "species": ["Ag", "Pm", "Pm", "Li"], "frac_coords": [[0.500, 0.000, 0.000], [0.000, 0.500, 0.000], [0.000, 0.000, 0.500], [0.500, 0.500, 0.500]]}

# 4
{"formula": "Li2PmAg6", "functional": "GGA-PBE", "state": "relaxed", "e_form_mev_per_atom": -118, "e_above_lowest_polymorph_mev_per_atom": 14, "m_tot_mub_per_cell": 0.00, "spacegroup": "No. 71", "lattice_angstrom": [[-3.014, 0.178, 0.358], [-0.741, -2.505, 7.918], [-0.468, 5.543, 6.211]], "species": ["Pm", "Ag", "Ag", "Ag", "Ag", "Ag", "Ag", "Li", "Li"], "frac_coords": [[0.500, 0.500, 0.500], [0.000, 0.165, 0.835], [0.177, 0.498, 0.148], [0.823, 0.852, 0.502], [0.177, 0.148, 0.498], [0.000, 0.835, 0.165], [0.823, 0.502, 0.852], [0.648, 0.852, 0.852], [0.352, 0.148, 0.148]]}

# 5
{"formula": "LiPm2Ag5", "functional": "GGA-PBE", "state": "relaxed", "e_form_mev_per_atom": -185, "m_tot_mub_per_cell": 0.01, "spacegroup": "No. 139", "lattice_angstrom": [[4.983, 0.000, 0.000], [0.000, 4.983, 0.000], [-2.492, -2.492, 6.980]], "species": ["Ag", "Ag", "Ag", "Ag", "Ag", "Pm", "Pm", "Li"], "frac_coords": [[0.895, 0.395, 0.790], [0.105, 0.605, 0.210], [0.500, 0.500, 0.000], [0.395, 0.895, 0.790], [0.605, 0.105, 0.210], [0.261, 0.261, 0.521], [0.739, 0.739, 0.479], [0.000, 0.000, 0.000]]}

# 6
{"formula": "Li4PmAg5", "functional": "GGA-PBE", "state": "relaxed", "e_form_mev_per_atom": -205, "m_tot_mub_per_cell": 0.03, "spacegroup": "No. 123", "lattice_angstrom": [[-0.806, -0.649, 3.112], [3.145, -0.627, 0.684], [2.332, 15.997, 3.938]], "species": ["Li", "Li", "Li", "Li", "Ag", "Ag", "Ag", "Ag", "Ag", "Pm"], "frac_coords": [[0.000, 0.000, 0.408], [0.000, 0.000, 0.774], [0.000, 0.000, 0.592], [0.000, 0.000, 0.226], [0.500, 0.500, 0.317], [0.500, 0.500, 0.500], [0.500, 0.500, 0.864], [0.500, 0.500, 0.683], [0.500, 0.500, 0.136], [0.000, 0.000, 0.000]]}

# 7
{"formula": "LiPm4Ag3", "functional": "GGA-PBE", "state": "relaxed", "e_form_mev_per_atom": -175, "m_tot_mub_per_cell": 0.00, "spacegroup": "No. 166", "lattice_angstrom": [[-4.169, 2.269, 2.330], [-0.626, -0.367, 5.237], [2.952, 7.914, 3.577]], "species": ["Ag", "Ag", "Ag", "Pm", "Pm", "Pm", "Pm", "Li"], "frac_coords": [[0.256, 0.256, 0.232], [0.744, 0.744, 0.768], [0.500, 0.500, 0.500], [0.622, 0.622, 0.133], [0.873, 0.873, 0.382], [0.127, 0.127, 0.618], [0.378, 0.378, 0.867], [0.000, 0.000, 0.000]]}

# 8
{"formula": "Li2PmAg2", "functional": "GGA-PBE", "state": "relaxed", "e_form_mev_per_atom": -192, "e_above_lowest_polymorph_mev_per_atom": 4, "m_tot_mub_per_cell": 0.00, "spacegroup": "No. 139", "lattice_angstrom": [[-2.292, -3.132, -1.047], [0.980, -1.862, 3.425], [-4.540, 5.295, 1.820]], "species": ["Li", "Li", "Pm", "Ag", "Ag"], "frac_coords": [[0.750, 0.250, 0.500], [0.250, 0.750, 0.500], [0.000, 0.000, 0.000], [0.608, 0.608, 0.216], [0.392, 0.392, 0.784]]}

# 9
{"formula": "Li2Pm5Ag12", "functional": "GGA-PBE", "state": "relaxed", "e_form_mev_per_atom": -186, "m_tot_mub_per_cell": 0.00, "spacegroup": "No. 12", "lattice_angstrom": [[-6.438, -3.061, -0.512], [0.380, -2.029, 7.354], [-3.287, 5.603, 5.682]], "species": ["Ag", "Ag", "Ag", "Ag", "Ag", "Ag", "Ag", "Ag", "Ag", "Ag", "Ag", "Ag", "Pm", "Pm", "Pm", "Pm", "Pm", "Li", "Li"], "frac_coords": [[0.661, 0.588, 0.214], [0.339, 0.802, 0.786], [0.094, 0.100, 0.800], [0.753, 0.952, 0.715], [0.906, 0.900, 0.200], [0.682, 0.551, 0.897], [0.753, 0.332, 0.715], [0.661, 0.198, 0.214], [0.339, 0.412, 0.786], [0.247, 0.668, 0.285], [0.318, 0.449, 0.103], [0.247, 0.048, 0.285], [0.500, 0.000, 0.000], [0.967, 0.295, 0.410], [0.562, 0.756, 0.488], [0.438, 0.244, 0.512], [0.033, 0.705, 0.590], [0.000, 0.291, 0.000], [0.000, 0.709, 0.000]]}

# 10
{"formula": "LiPm2Ag3", "functional": "GGA-PBE", "state": "relaxed", "e_form_mev_per_atom": -217, "e_above_lowest_polymorph_mev_per_atom": 0, "m_tot_mub_per_cell": 0.00, "spacegroup": "No. 123", "lattice_angstrom": [[3.599, 0.000, 0.000], [0.000, 3.599, 0.000], [0.000, 0.000, 10.676]], "species": ["Ag", "Ag", "Ag", "Li", "Pm", "Pm"], "frac_coords": [[0.000, 0.000, 0.633], [0.000, 0.000, 0.367], [0.000, 0.000, 0.000], [0.500, 0.500, 0.500], [0.500, 0.500, 0.817], [0.500, 0.500, 0.183]]}

# 11
{"formula": "Li7PmAg4", "functional": "GGA-PBE", "state": "relaxed", "e_form_mev_per_atom": 8, "m_tot_mub_per_cell": 0.00, "spacegroup": "No. 12", "lattice_angstrom": [[-3.749, -1.065, 3.106], [-1.249, -7.737, -0.162], [2.291, -2.064, 6.056]], "species": ["Li", "Li", "Li", "Li", "Li", "Li", "Li", "Ag", "Ag", "Ag", "Ag", "Pm"], "frac_coords": [[0.220, 0.132, 0.428], [0.500, 0.000, 0.000], [0.677, 0.387, 0.258], [0.942, 0.400, 0.716], [0.780, 0.868, 0.572], [0.323, 0.613, 0.742], [0.058, 0.600, 0.284], [0.429, 0.788, 0.355], [0.571, 0.212, 0.645], [0.690, 0.663, 0.958], [0.310, 0.337, 0.042], [0.000, 0.000, 0.000]]}

# 12
{"formula": "Li5PmAg2", "functional": "GGA-PBE", "state": "relaxed", "e_form_mev_per_atom": -93, "m_tot_mub_per_cell": 0.00, "spacegroup": "No. 12", "lattice_angstrom": [[-2.854, -0.173, -1.782], [-0.862, -7.097, -1.102], [-4.924, -1.996, 4.909]], "species": ["Li", "Li", "Li", "Li", "Li", "Pm", "Ag", "Ag"], "frac_coords": [[0.645, 0.149, 0.561], [0.645, 0.561, 0.149], [0.000, 0.500, 0.500], [0.355, 0.439, 0.851], [0.355, 0.851, 0.439], [0.000, 0.000, 0.000], [0.743, 0.757, 0.757], [0.257, 0.243, 0.243]]}